Record 1
A crystal of CaCoTe2 relaxed with PBEsol. Source: the Alexandria database, functional meta-GGA SCAN.

Computed properties:
Total moment, μB per atom: 0.25
Raw formation energy, meV per atom: -680
DFT total energy, eV/f.u.: -104.19

Geometry as POSCAR:
```
CaCoTe2
1.0
2.007 1.158 6.727
-2.007 1.158 6.727
0.000 -2.317 6.727
Ca Co Te
1 1 2
direct
0.000 0.000 0.000
0.500 0.500 0.500
0.230 0.230 0.230
0.770 0.770 0.770
```

=====

Record 2
A crystal of CaCo2Te relaxed with PBEsol. Source: the Alexandria database, functional meta-GGA SCAN.

Computed properties:
Total moment, μB per atom: 0.00
Raw formation energy, meV per atom: 8
DFT total energy, eV/f.u.: -81.49

Geometry as POSCAR:
```
CaCo2Te
1.0
2.099 1.212 4.914
-2.099 1.212 4.914
0.000 -2.423 4.914
Ca Co Te
1 2 1
direct
0.000 0.000 0.000
0.191 0.191 0.191
0.809 0.809 0.809
0.500 0.500 0.500
```

=====

Record 3
A crystal of CaCoTe2 relaxed with PBEsol. Source: the Alexandria database, functional meta-GGA SCAN.

Computed properties:
Total moment, μB per atom: 0.52
Raw formation energy, meV per atom: -608
DFT total energy, eV/f.u.: -103.90

Geometry as POSCAR:
```
CaCoTe2
1.0
4.051 0.000 0.000
0.000 2.142 6.184
0.000 -2.142 6.184
Ca Co Te
1 1 2
direct
0.000 0.000 0.000
0.500 0.404 0.404
0.000 0.299 0.299
0.500 0.598 0.598
```

=====

Record 4
A crystal of CaCoTe2 relaxed with PBEsol. Source: the Alexandria database, functional meta-GGA SCAN.

Computed properties:
Total moment, μB per atom: 0.27
Raw formation energy, meV per atom: -597
DFT total energy, eV/f.u.: -103.86

Geometry as POSCAR:
```
CaCoTe2
1.0
-3.787 3.787 3.382
3.787 -3.787 3.382
3.787 3.787 -3.382
Ca Co Te
2 2 4
direct
0.000 0.000 0.000
0.750 0.250 0.500
0.250 0.750 0.500
0.500 0.500 0.000
0.207 0.125 0.582
0.375 0.793 0.918
0.543 0.625 0.418
0.875 0.457 0.082
```

=====

Record 5
A crystal of CaCo2Te2 relaxed with PBEsol. Source: the Alexandria database, functional meta-GGA SCAN.

Computed properties:
Total moment, μB per atom: 0.40
Raw formation energy, meV per atom: -347
DFT total energy, eV/f.u.: -120.51

Geometry as POSCAR:
```
CaCo2Te2
1.0
-2.008 2.008 6.247
2.008 -2.008 6.247
2.008 2.008 -6.247
Ca Co Te
1 2 2
direct
0.000 0.000 0.000
0.250 0.750 0.500
0.750 0.250 0.500
0.364 0.364 0.000
0.636 0.636 0.000
```

=====

Record 6
A crystal of CaCoTe2 relaxed with PBEsol. Source: the Alexandria database, functional meta-GGA SCAN.

Computed properties:
Total moment, μB per atom: 0.68
Raw formation energy, meV per atom: -254
DFT total energy, eV/f.u.: -102.49

Geometry as POSCAR:
```
CaCoTe2
1.0
0.000 3.576 3.576
3.576 0.000 3.576
3.576 3.576 0.000
Ca Co Te
1 1 2
direct
0.000 0.000 0.000
0.500 0.500 0.500
0.250 0.250 0.250
0.750 0.750 0.750
```

=====

Record 7
A crystal of CaCo2Te relaxed with PBEsol. Source: the Alexandria database, functional meta-GGA SCAN.

Computed properties:
Total moment, μB per atom: 0.83
Raw formation energy, meV per atom: 298
DFT total energy, eV/f.u.: -80.33

Geometry as POSCAR:
```
CaCo2Te
1.0
0.000 3.253 3.253
3.253 0.000 3.253
3.253 3.253 0.000
Ca Co Te
1 2 1
direct
0.000 0.000 0.000
0.250 0.250 0.250
0.500 0.500 0.500
0.750 0.750 0.750
```

=====

Record 8
A crystal of CaCo2Te relaxed with PBEsol. Source: the Alexandria database, functional meta-GGA SCAN.

Computed properties:
Total moment, μB per atom: 0.82
Raw formation energy, meV per atom: 55
DFT total energy, eV/f.u.: -81.30

Geometry as POSCAR:
```
CaCo2Te
1.0
4.103 0.000 0.000
0.000 4.135 0.000
0.000 0.000 4.923
Ca Co Te
1 2 1
direct
0.000 0.000 0.000
0.500 0.500 0.220
0.500 0.500 0.780
0.000 0.500 0.500
```

=====

Record 9
A crystal of CaCoTe4 relaxed with PBEsol. Source: the Alexandria database, functional meta-GGA SCAN.

Computed properties:
Total moment, μB per atom: 0.42
Raw formation energy, meV per atom: 315
DFT total energy, eV/f.u.: -174.08

Geometry as POSCAR:
```
CaCoTe4
1.0
0.000 4.432 4.432
4.432 0.000 4.432
4.432 4.432 0.000
Ca Co Te
1 1 4
direct
0.000 0.000 0.000
0.750 0.750 0.750
0.376 0.376 0.376
0.376 0.376 0.872
0.376 0.872 0.376
0.872 0.376 0.376
```

=====

Record 10
A crystal of CaCo2Te relaxed with PBEsol. Source: the Alexandria database, functional meta-GGA SCAN.

Computed properties:
Total moment, μB per atom: 0.51
Raw formation energy, meV per atom: 227
DFT total energy, eV/f.u.: -80.62

Geometry as POSCAR:
```
CaCo2Te
1.0
4.255 0.000 0.000
0.000 4.255 0.000
0.000 0.000 3.538
Ca Co Te
1 2 1
direct
0.000 0.000 0.000
0.000 0.500 0.500
0.500 0.000 0.500
0.500 0.500 0.000
```

=====

Record 11
A crystal of CaTiCo3 relaxed with PBEsol. Source: the Alexandria database, functional meta-GGA SCAN.

Computed properties:
Total moment, μB per atom: 0.37
DFT formation energy, eV per atom: 0.672
DFT total energy, eV/f.u.: -74.25

Geometry as POSCAR:
```
CaTiCo3
1.0
4.328 0.000 0.000
0.000 4.328 0.000
0.000 0.000 4.328
Ca Ti Co
1 1 3
direct
0.000 0.000 0.000
0.500 0.500 0.500
0.000 0.500 0.500
0.500 0.000 0.500
0.500 0.500 0.000
```

=====

Record 12
A crystal of Ca4TlCo relaxed with PBEsol. Source: the Alexandria database, functional meta-GGA SCAN.

Computed properties:
Total moment, μB per atom: 0.11
DFT formation energy, eV per atom: 0.694
DFT total energy, eV/f.u.: -124.15

Geometry as POSCAR:
```
Ca4TlCo
1.0
0.000 4.426 4.426
4.426 0.000 4.426
4.426 4.426 0.000
Ca Tl Co
4 1 1
direct
0.125 0.125 0.125
0.125 0.125 0.624
0.125 0.624 0.125
0.624 0.125 0.125
0.750 0.750 0.750
0.500 0.500 0.500
```

=====

Record 13
A crystal of Ca3TlCo relaxed with PBEsol. Source: the Alexandria database, functional meta-GGA SCAN.

Computed properties:
Total moment, μB per atom: 0.00
DFT formation energy, eV per atom: 0.130
DFT total energy, eV/f.u.: -118.00

Geometry as POSCAR:
```
Ca3TlCo
1.0
5.242 0.000 0.000
0.000 5.242 0.000
0.000 0.000 5.242
Ca Tl Co
3 1 1
direct
0.000 0.000 0.500
0.000 0.500 0.000
0.500 0.000 0.000
0.500 0.500 0.500
0.000 0.000 0.000
```

=====

Record 14
A crystal of CaCoW3 relaxed with PBEsol. Source: the Alexandria database, functional meta-GGA SCAN.

Computed properties:
Total moment, μB per atom: 0.00
DFT formation energy, eV per atom: 1.497
DFT total energy, eV/f.u.: -228.55

Geometry as POSCAR:
```
CaCoW3
1.0
4.542 0.000 0.000
0.000 4.542 0.000
0.000 0.000 4.542
Ca Co W
1 1 3
direct
0.000 0.000 0.000
0.500 0.500 0.500
0.000 0.500 0.500
0.500 0.000 0.500
0.500 0.500 0.000
```

=====

Record 15
A crystal of CaYCo4 relaxed with PBEsol. Source: the Alexandria database, functional meta-GGA SCAN.

Computed properties:
Total moment, μB per atom: 0.79
DFT formation energy, eV per atom: 0.055
DFT total energy, eV/f.u.: -106.39

Geometry as POSCAR:
```
CaYCo4
1.0
0.000 3.530 3.530
3.530 0.000 3.530
3.530 3.530 0.000
Ca Y Co
1 1 4
direct
0.000 0.000 0.000
0.750 0.750 0.750
0.375 0.375 0.375
0.375 0.375 0.874
0.375 0.874 0.375
0.874 0.375 0.375
```

=====

Record 16
A crystal of CaYCo2 relaxed with PBEsol. Source: the Alexandria database, functional meta-GGA SCAN.

Computed properties:
Total moment, μB per atom: 0.43
DFT formation energy, eV per atom: 0.203
DFT total energy, eV/f.u.: -71.30
Relative energy among the computed polymorphs, eV/atom: 0.035

Geometry as POSCAR:
```
CaYCo2
1.0
4.779 -1.932 0.000
4.779 1.932 0.000
-4.002 0.000 5.092
Ca Y Co
1 1 2
direct
0.000 0.000 0.000
0.500 0.500 0.500
0.250 0.250 0.568
0.750 0.750 0.432
```

=====

Record 17
A crystal of CaYCo2 relaxed with PBEsol. Source: the Alexandria database, functional meta-GGA SCAN.

Computed properties:
Total moment, μB per atom: 0.50
DFT formation energy, eV per atom: 0.168
DFT total energy, eV/f.u.: -71.44
Relative energy among the computed polymorphs, eV/atom: 0.000

Geometry as POSCAR:
```
CaYCo2
1.0
-1.841 2.070 5.680
1.841 -2.070 5.680
1.841 2.070 -5.680
Ca Y Co
1 1 2
direct
0.000 0.000 0.000
0.740 0.240 0.500
0.305 0.805 0.500
0.401 0.401 0.000
```

=====

Record 18
A crystal of CaYCo2 relaxed with PBEsol. Source: the Alexandria database, functional meta-GGA SCAN.

Computed properties:
Total moment, μB per atom: 0.00
DFT formation energy, eV per atom: 0.353
DFT total energy, eV/f.u.: -70.70
Relative energy among the computed polymorphs, eV/atom: 0.185

Geometry as POSCAR:
```
CaYCo2
1.0
0.000 3.277 3.277
3.277 0.000 3.277
3.277 3.277 0.000
Ca Y Co
1 1 2
direct
0.000 0.000 0.000
0.500 0.500 0.500
0.250 0.250 0.250
0.750 0.750 0.750
```

=====

Record 19
A crystal of CaYCo2 relaxed with PBEsol. Source: the Alexandria database, functional meta-GGA SCAN.

Computed properties:
Total moment, μB per atom: 0.58
DFT formation energy, eV per atom: 0.422
DFT total energy, eV/f.u.: -70.43
Relative energy among the computed polymorphs, eV/atom: 0.254

Geometry as POSCAR:
```
CaYCo2
1.0
-1.934 1.934 4.836
1.934 -1.934 4.836
1.934 1.934 -4.836
Ca Y Co
1 1 2
direct
0.000 0.000 0.000
0.250 0.750 0.500
0.500 0.500 0.000
0.750 0.250 0.500
```

=====

Record 20
A crystal of Ca2ZnCo relaxed with PBEsol. Source: the Alexandria database, functional meta-GGA SCAN.

Computed properties:
Total moment, μB per atom: 0.31
DFT formation energy, eV per atom: 0.076
DFT total energy, eV/f.u.: -49.84

Geometry as POSCAR:
```
Ca2ZnCo
1.0
-1.749 2.387 5.096
1.749 -2.387 5.096
1.749 2.387 -5.096
Ca Zn Co
2 1 1
direct
0.000 0.000 0.000
0.707 0.207 0.500
0.418 0.418 0.000
0.262 0.762 0.500
```

=====

Record 21
A crystal of CaZnCo relaxed with PBEsol. Source: the Alexandria database, functional meta-GGA SCAN.

Computed properties:
Total moment, μB per atom: 0.23
DFT formation energy, eV per atom: 0.471
DFT total energy, eV/f.u.: -39.07

Geometry as POSCAR:
```
CaZnCo
1.0
0.000 3.052 3.052
3.052 0.000 3.052
3.052 3.052 0.000
Ca Zn Co
1 1 1
direct
0.000 0.000 0.000
0.500 0.500 0.500
0.250 0.250 0.250
```

=====

Record 22
A crystal of CaZn2Co relaxed with PBEsol. Source: the Alexandria database, functional meta-GGA SCAN.

Computed properties:
Total moment, μB per atom: 0.32
DFT formation energy, eV per atom: 0.095
DFT total energy, eV/f.u.: -53.62

Geometry as POSCAR:
```
CaZn2Co
1.0
3.154 0.000 0.000
0.000 3.154 0.000
0.000 0.000 6.655
Ca Zn Co
1 2 1
direct
0.000 0.000 0.000
0.000 0.000 0.442
0.500 0.500 0.664
0.500 0.500 0.291
```

=====

Record 23
A crystal of CaZnCo2 relaxed with PBEsol. Source: the Alexandria database, functional meta-GGA SCAN.

Computed properties:
Total moment, μB per atom: 0.63
DFT formation energy, eV per atom: -0.018
DFT total energy, eV/f.u.: -57.86

Geometry as POSCAR:
```
CaZnCo2
1.0
1.996 1.152 5.007
-1.996 1.152 5.007
0.000 -2.305 5.007
Ca Zn Co
1 1 2
direct
0.000 0.000 0.000
0.806 0.806 0.806
0.194 0.194 0.194
0.520 0.520 0.520
```

=====

Record 24
A crystal of CaZnCo2 relaxed with PBEsol. Source: the Alexandria database, functional meta-GGA SCAN.

Computed properties:
Total moment, μB per atom: 0.68
DFT formation energy, eV per atom: 0.306
DFT total energy, eV/f.u.: -56.56

Geometry as POSCAR:
```
CaZnCo2
1.0
3.180 0.000 0.000
0.000 3.180 0.000
0.000 0.000 6.147
Ca Zn Co
1 1 2
direct
0.000 0.000 0.000
0.000 0.000 0.500
0.500 0.500 0.321
0.500 0.500 0.679
```

=====

Record 25
A crystal of CaZnCo2 relaxed with PBEsol. Source: the Alexandria database, functional meta-GGA SCAN.

Computed properties:
Total moment, μB per atom: 0.66
DFT formation energy, eV per atom: 0.496
DFT total energy, eV/f.u.: -55.80

Geometry as POSCAR:
```
CaZnCo2
1.0
2.753 -4.174 0.000
2.753 4.174 0.000
-0.965 0.000 2.456
Ca Zn Co
1 1 2
direct
0.000 0.000 0.000
0.500 0.500 0.000
0.000 0.500 0.500
0.500 0.000 0.500
```

=====

Record 26
A crystal of CaZnCo relaxed with PBEsol. Source: the Alexandria database, functional meta-GGA SCAN.

Computed properties:
Total moment, μB per atom: 0.59
DFT formation energy, eV per atom: 0.805
DFT total energy, eV/f.u.: -38.07

Geometry as POSCAR:
```
CaZnCo
1.0
0.000 3.224 3.224
3.224 0.000 3.224
3.224 3.224 0.000
Ca Zn Co
1 1 1
direct
0.000 0.000 0.000
0.250 0.250 0.250
0.750 0.750 0.750
```

=====

Record 27
A crystal of Ca2ZrCo relaxed with PBEsol. Source: the Alexandria database, functional meta-GGA SCAN.

Computed properties:
Total moment, μB per atom: 0.00
DFT formation energy, eV per atom: 0.765
DFT total energy, eV/f.u.: -64.27

Geometry as POSCAR:
```
Ca2ZrCo
1.0
3.174 0.000 0.000
0.000 4.752 0.000
0.000 0.000 5.797
Ca Zr Co
2 1 1
direct
0.000 0.000 0.233
0.000 0.000 0.767
0.500 0.500 0.500
0.500 0.500 0.000
```

=====

Record 28
A crystal of CaZrCo relaxed with PBEsol. Source: the Alexandria database, functional meta-GGA SCAN.

Computed properties:
Total moment, μB per atom: 0.00
DFT formation energy, eV per atom: 0.458
DFT total energy, eV/f.u.: -56.29
Relative energy among the computed polymorphs, eV/atom: 0.000

Geometry as POSCAR:
```
CaZrCo
1.0
0.000 3.158 3.158
3.158 0.000 3.158
3.158 3.158 0.000
Ca Zr Co
1 1 1
direct
0.000 0.000 0.000
0.500 0.500 0.500
0.250 0.250 0.250
```

=====

Record 29
A crystal of Ca5Cr relaxed with PBEsol. Source: the Alexandria database, functional meta-GGA SCAN.

Computed properties:
Total moment, μB per atom: 0.94
DFT formation energy, eV per atom: 0.616
DFT total energy, eV/f.u.: -63.00
Relative energy among the computed polymorphs, eV/atom: 0.477

Geometry as POSCAR:
```
Ca5Cr
1.0
6.742 0.000 0.000
-3.371 5.838 0.000
0.000 0.000 6.238
Ca Cr
5 1
direct
0.000 0.500 0.000
0.333 0.667 0.500
0.500 0.000 0.000
0.500 0.500 0.000
0.667 0.333 0.500
0.000 0.000 0.500
```

=====

Record 30
A crystal of CaCr relaxed with PBEsol. Source: the Alexandria database, functional meta-GGA SCAN.

Computed properties:
Total moment, μB per atom: 2.47
DFT formation energy, eV per atom: 0.452
DFT total energy, eV/f.u.: -27.14
Relative energy among the computed polymorphs, eV/atom: 0.000

Geometry as POSCAR:
```
CaCr
1.0
3.706 0.000 0.000
0.000 3.706 0.000
0.000 0.000 3.706
Ca Cr
1 1
direct
0.000 0.000 0.000
0.500 0.500 0.500
```